Here is an optimized crystal structure of Ac2Cu2I from the Alexandria database. Energies are from PBE.

CIF file:
```
data_Ac2Cu2I
_chemical_formula_sum 'Ac6 Cu6 I3'
_cell_length_a 4.3944
_cell_length_b 4.3944
_cell_length_c 27.6562
_cell_angle_alpha 90.00
_cell_angle_beta 90.00
_cell_angle_gamma 120.00
_symmetry_space_group_name_H-M 'R -3 m'
_symmetry_Int_Tables_number 166
_symmetry_space_group_name_Hall '-R 3 2"'
loop_
_atom_site_label
_atom_site_fract_x
_atom_site_fract_y
_atom_site_fract_z
Ac1 0.0000 0.0000 0.0686
Cu1 0.0000 0.0000 0.3330
I1 0.0000 0.0000 0.5000
```

DOS at the Fermi energy (states/eV/f.u.): 3.69
Volume (Å³/f.u.): 154.20
Formation energy without anion corrections (eV/atom): -0.58